[1]
! ReAsSe2Br (GGA-PBE, relaxed); values from VASP
! - symmetry = P4/mmm (123)
&SYSTEM
  ibrav = 0, nat = 5, ntyp = 4
/
ATOMIC_SPECIES
Re 186.21 Re.upf
As 74.92 As.upf
Se 78.96 Se.upf
Br 79.90 Br.upf
ATOMIC_POSITIONS crystal
Re 0.000 0.000 0.000
As 0.000 0.000 0.500
Se 0.000 0.500 0.000
Se 0.500 0.000 0.000
Br 0.500 0.500 0.500
CELL_PARAMETERS angstrom
4.821 0.000 0.000
0.000 4.821 0.000
0.000 0.000 5.050


[2]
! SrCoPb (GGA-PBE, relaxed); values from VASP
! - symmetry = F-43m (216)
! - ΔE_f (meV per atom) = 919
&SYSTEM
  ibrav = 0, nat = 3, ntyp = 3
/
ATOMIC_SPECIES
Co 58.93 Co.upf
Pb 207.20 Pb.upf
Sr 87.62 Sr.upf
ATOMIC_POSITIONS crystal
Co 0.000 0.000 0.000
Pb 0.500 0.500 0.500
Sr 0.750 0.750 0.750
CELL_PARAMETERS angstrom
5.178 0.000 0.000
2.589 4.484 0.000
2.589 1.495 4.228


[3]
! TaHgIr (GGA-PBE, relaxed); values from VASP
! - symmetry = I4mm (107)
! - ΔE_f (meV per atom) = 55
&SYSTEM
  ibrav = 0, nat = 3, ntyp = 3
/
ATOMIC_SPECIES
Hg 200.59 Hg.upf
Ir 192.22 Ir.upf
Ta 180.95 Ta.upf
ATOMIC_POSITIONS crystal
Hg 0.998 0.998 0.000
Ir 0.318 0.318 0.000
Ta 0.684 0.684 0.000
CELL_PARAMETERS angstrom
-2.011 1.851 4.382
-4.996 1.142 0.636
3.084 -3.756 -1.747


[4]
! RbHg3Pd (GGA-PBE, relaxed); values from VASP
! - symmetry = Fd-3m (227)
! - ΔE_f (meV per atom) = -118
&SYSTEM
  ibrav = 0, nat = 20, ntyp = 3
/
ATOMIC_SPECIES
Rb 85.47 Rb.upf
Hg 200.59 Hg.upf
Pd 106.42 Pd.upf
ATOMIC_POSITIONS crystal
Rb 0.125 0.125 0.125
Rb 0.125 0.625 0.125
Rb 0.625 0.125 0.125
Rb 0.125 0.125 0.625
Hg 0.680 0.320 0.320
Hg 0.930 0.570 0.570
Hg 0.570 0.570 0.930
Hg 0.570 0.930 0.930
Hg 0.930 0.570 0.930
Hg 0.680 0.320 0.680
Hg 0.570 0.930 0.570
Hg 0.930 0.930 0.570
Hg 0.320 0.680 0.320
Hg 0.320 0.680 0.680
Hg 0.320 0.320 0.680
Hg 0.680 0.680 0.320
Pd 0.625 0.625 0.625
Pd 0.625 0.125 0.625
Pd 0.125 0.625 0.625
Pd 0.625 0.625 0.125
CELL_PARAMETERS angstrom
9.018 -4.908 1.184
1.693 -8.949 -4.885
6.724 -0.417 -7.838


[5]
! HfCdIr2 (GGA-PBE, relaxed); values from VASP
! - symmetry = P4/mmm (123)
! - ΔE_f (meV per atom) = -522
&SYSTEM
  ibrav = 0, nat = 4, ntyp = 3
/
ATOMIC_SPECIES
Ir 192.22 Ir.upf
Hf 178.49 Hf.upf
Cd 112.41 Cd.upf
ATOMIC_POSITIONS crystal
Ir 0.000 0.000 0.500
Ir 0.000 0.500 0.000
Hf 0.500 0.500 0.500
Cd 0.500 0.000 0.000
CELL_PARAMETERS angstrom
-2.938 2.015 -0.592
-2.083 -3.481 -1.512
-1.415 -0.888 3.994


[6]
! LaHoPd2 (GGA-PBE, relaxed); values from VASP
! - symmetry = R-3m (166)
! - ΔE_f (meV per atom) = -754
&SYSTEM
  ibrav = 0, nat = 4, ntyp = 3
/
ATOMIC_SPECIES
Ho 164.93 Ho.upf
Pd 106.42 Pd.upf
La 138.91 La.upf
ATOMIC_POSITIONS crystal
Ho 0.500 0.500 0.500
Pd 0.756 0.756 0.732
Pd 0.244 0.244 0.268
La 0.000 0.000 0.000
CELL_PARAMETERS angstrom
-0.004 4.135 -0.698
-3.517 2.216 0.554
0.516 3.199 6.353


[7]
! AcNdNpN4 (GGA-PBE, relaxed); values from VASP
! - symmetry = I4mm (107)
&SYSTEM
  ibrav = 0, nat = 7, ntyp = 4
/
ATOMIC_SPECIES
Ac 227.00 Ac.upf
Nd 144.24 Nd.upf
Np 237.00 Np.upf
N 14.01 N.upf
ATOMIC_POSITIONS crystal
Ac 0.650 0.650 0.301
Nd 0.356 0.356 0.711
Np 0.999 0.999 0.999
N 0.994 0.494 0.987
N 0.494 0.994 0.987
N 0.836 0.836 0.672
N 0.172 0.172 0.343
CELL_PARAMETERS angstrom
-4.064 0.128 1.158
-0.660 -3.717 -1.903
3.845 -1.312 5.926


[8]
! Tl2CdAgCl5 (GGA-PBE, relaxed); values from VASP
! - symmetry = Cmc2_1 (36)
&SYSTEM
  ibrav = 0, nat = 18, ntyp = 4
/
ATOMIC_SPECIES
Tl 204.38 Tl.upf
Cd 112.41 Cd.upf
Ag 107.87 Ag.upf
Cl 35.45 Cl.upf
ATOMIC_POSITIONS crystal
Tl 0.866 0.731 0.807
Tl 0.098 0.196 0.670
Tl 0.134 0.269 0.307
Tl 0.902 0.804 0.170
Cd 0.784 0.567 0.523
Cd 0.216 0.433 0.023
Ag 0.548 0.096 0.944
Ag 0.452 0.904 0.444
Cl 0.357 0.714 0.999
Cl 0.698 0.397 0.896
Cl 0.494 0.987 0.779
Cl 0.274 0.548 0.653
Cl 0.928 0.856 0.554
Cl 0.643 0.286 0.499
Cl 0.302 0.603 0.396
Cl 0.506 0.013 0.279
Cl 0.726 0.452 0.153
Cl 0.072 0.144 0.054
CELL_PARAMETERS angstrom
4.104 0.000 0.000
-2.052 9.261 0.000
0.000 0.000 13.745


Q: Which DFT total energy values were calculated for the entries above? A: -23.69; -9.74; -20.85; -30.63; -30.68; -22.91; -63.38; -51.98, in eV/cell.
Q: Which spin magnetization values were calculated for the entries above? A: 0.00; 1.12; 0.00; 0.00; 0.00; 0.00; 1.00; 0.00, in μB per formula unit.